# 1
VASP calculation (GGA-PBEsol) on crystalline RuPbW2 at its relaxed geometry.

Results
- energy relative to the elements (eV/atom) = 0.7623

Cell lengths 3.8220, 3.8220, 4.5452 Å; angles 90.00, 90.00, 90.00 degrees
Sites, in units of the cell vectors:
W 0.5000 0.0000 0.0000
W 0.0000 0.5000 0.0000
Pb 0.5000 0.5000 0.5000
Ru 0.0000 0.0000 0.5000

# 2
VASP calculation (GGA-PBEsol) on crystalline YRu2Pb at its relaxed geometry.

Results
- energy relative to the elements (eV/atom) = 0.2854

Cell lengths 3.2213, 4.3450, 5.8307 Å; angles 90.00, 94.25, 90.00 degrees
Sites, in units of the cell vectors:
Y 0.5000 0.5000 0.0000
Ru 0.0605 0.0000 0.2037
Ru 0.9395 0.0000 0.7963
Pb 0.0000 0.5000 0.5000

# 3
VASP calculation (GGA-PBEsol) on crystalline Y3RuPb at its relaxed geometry.

Results
- energy relative to the elements (eV/atom) = -0.4097

Cell lengths 6.9750, 7.9650, 10.0445 Å; angles 72.48, 90.00, 90.00 degrees
Sites, in units of the cell vectors:
Y 0.8332 0.3380 0.7309
Y 0.6668 0.8380 0.2309
Y 0.9993 0.2401 0.4399
Y 0.4993 0.2599 0.0601
Y 0.3332 0.1620 0.7691
Y 0.4950 0.6745 0.5742
Y 0.0050 0.1745 0.0742
Y 0.9950 0.8255 0.9258
Y 0.5050 0.3255 0.4258
Y 0.5007 0.7401 0.9399
Y 0.1668 0.6620 0.2691
Y 0.0007 0.7599 0.5601
Ru 0.3004 0.9495 0.0557
Ru 0.1996 0.4495 0.5557
Ru 0.6996 0.0505 0.9443
Ru 0.8004 0.5505 0.4443
Pb 0.1992 0.5108 0.8375
Pb 0.8008 0.4892 0.1625
Pb 0.6992 0.9892 0.6625
Pb 0.3008 0.0108 0.3375

# 4
VASP calculation (GGA-PBEsol) on crystalline YRu2Pb at its relaxed geometry.

Results
- energy relative to the elements (eV/atom) = 0.2825

Cell lengths 3.0741, 5.3654, 5.3654 Å; angles 110.47, 104.80, 104.80 degrees
Sites, in units of the cell vectors:
Y 0.5000 0.5000 0.5000
Ru 0.0000 0.0000 0.5000
Ru 0.0000 0.5000 0.0000
Pb 0.5000 0.0000 0.0000

# 5
VASP calculation (GGA-PBEsol) on crystalline YRu2Pb at its relaxed geometry.

Results
- energy relative to the elements (eV/atom) = 0.2005

Cell lengths 3.1161, 4.1957, 5.6394 Å; angles 90.00, 90.00, 90.00 degrees
Sites, in units of the cell vectors:
Ru 0.0000 0.0000 0.0095
Ru 0.5000 0.5000 0.2429
Pb 0.5000 0.5000 0.7772
Y 0.0000 0.0000 0.4704

# 6
VASP calculation (GGA-PBEsol) on crystalline ZnRuPb2 at its relaxed geometry.

Results
- energy relative to the elements (eV/atom) = 0.2572

Cell lengths 3.5106, 4.4449, 5.3711 Å; angles 90.00, 109.07, 90.00 degrees
Sites, in units of the cell vectors:
Pb 0.1001 0.0000 0.2003
Pb 0.4045 0.5000 0.8091
Zn 0.6819 0.5000 0.3638
Ru 0.8184 0.0000 0.6368

# 7
VASP calculation (GGA-PBEsol) on crystalline ZnRuPb2 at its relaxed geometry.

Results
- energy relative to the elements (eV/atom) = 0.3962

Cell lengths 3.2745, 3.2745, 7.7862 Å; angles 90.00, 90.00, 90.00 degrees
Sites, in units of the cell vectors:
Zn 0.5000 0.5000 0.5000
Ru 0.5000 0.5000 0.0000
Pb 0.0000 0.0000 0.2167
Pb 0.0000 0.0000 0.7833

# 8
VASP calculation (GGA-PBEsol) on crystalline ZnRuPb2 at its relaxed geometry.

Results
- energy relative to the elements (eV/atom) = 0.3401

Cell lengths 3.3330, 4.5433, 6.2978 Å; angles 100.45, 90.00, 111.52 degrees
Sites, in units of the cell vectors:
Zn 0.7682 0.5364 0.3175
Pb 0.0097 0.0195 0.0671
Pb 0.2271 0.4542 0.6827
Ru 0.4950 0.9899 0.4328

# 9
VASP calculation (GGA-PBEsol) on crystalline ZnRuPb2 at its relaxed geometry.

Results
- energy relative to the elements (eV/atom) = 0.5070

Cell lengths 4.1759, 4.7802, 5.0643 Å; angles 118.16, 114.35, 90.00 degrees
Sites, in units of the cell vectors:
Pb 0.7532 0.7532 0.5064
Pb 0.2468 0.2468 0.4936
Ru 0.5000 0.0000 0.0000
Zn 0.0000 0.5000 0.0000

# 10
VASP calculation (GGA-PBEsol) on crystalline ZrRu2Pb at its relaxed geometry.

Results
- energy relative to the elements (eV/atom) = 0.2234

Cell lengths 3.0029, 5.2925, 5.2925 Å; angles 111.18, 104.74, 104.74 degrees
Sites, in units of the cell vectors:
Ru 0.0000 0.0000 0.5000
Ru 0.0000 0.5000 0.0000
Zr 0.5000 0.0000 0.0000
Pb 0.5000 0.5000 0.5000

# 11
VASP calculation (GGA-PBEsol) on crystalline ZrRuPb2 at its relaxed geometry.

Results
- energy relative to the elements (eV/atom) = 0.1476

Cell lengths 3.3029, 3.3029, 7.3680 Å; angles 90.00, 90.00, 90.00 degrees
Sites, in units of the cell vectors:
Pb 0.0000 0.0000 0.7773
Pb 0.0000 0.0000 0.2227
Ru 0.5000 0.5000 0.0000
Zr 0.5000 0.5000 0.5000

# 12
VASP calculation (GGA-PBEsol) on crystalline ZrRu2Pb at its relaxed geometry.

Results
- energy relative to the elements (eV/atom) = 0.0992

Cell lengths 3.1322, 4.0968, 5.4651 Å; angles 90.00, 90.00, 90.00 degrees
Sites, in units of the cell vectors:
Pb 0.5000 0.5000 0.7803
Ru 0.0000 0.0000 0.9879
Ru 0.5000 0.5000 0.2732
Zr 0.0000 0.0000 0.4585

# 13
VASP calculation (GGA-PBEsol) on crystalline ZrRu2Pb at its relaxed geometry.

Results
- energy relative to the elements (eV/atom) = 0.2077

Cell lengths 3.0090, 3.0090, 7.8469 Å; angles 90.00, 90.00, 89.98 degrees
Sites, in units of the cell vectors:
Ru 0.5000 0.5000 0.7793
Ru 0.0000 0.0000 0.9679
Zr 0.0000 0.0000 0.5289
Pb 0.5000 0.5000 0.2240

# 14
VASP calculation (GGA-PBEsol) on crystalline PbS at its relaxed geometry.

Results
- formation energy from raw total energies (eV/atom) = -0.50

Cell lengths 4.0838, 4.2289, 6.1046 Å; angles 90.00, 109.54, 90.00 degrees
Sites, in units of the cell vectors:
S 0.3596 0.2500 0.7193
S 0.6404 0.7500 0.2807
Pb 0.1261 0.2500 0.2522
Pb 0.8739 0.7500 0.7478

# 15
VASP calculation (GGA-PBEsol) on crystalline PbS at its relaxed geometry.

Results
- formation energy from raw total energies (eV/atom) = -0.47

Cell lengths 4.0537, 4.0537, 7.2778 Å; angles 90.00, 90.00, 120.00 degrees
Sites, in units of the cell vectors:
Pb 0.0000 0.0000 0.5291
Pb 0.0000 0.0000 0.0291
S 0.6667 0.3333 0.2917
S 0.3333 0.6667 0.7917

no.,magnetic moment (μB/cell)
1,0.0
2,0.0
3,0.0
4,0.0
5,0.0
6,0.0
7,0.0
8,0.0
9,0.0
10,0.0
11,0.0
12,0.0
13,0.0
14,0.0
15,0.0